{
  "formula": "USbTe2O",
  "functional": "PBE",
  "state": "optimized geometry",
  "lattice": [[3.883, 0.000, 0.000], [0.000, 3.883, 0.000], [0.000, 0.000, 20.404]],
  "species": ["Te", "Te", "Te", "Te", "U", "U", "O", "O", "Sb", "Sb"],
  "frac_coords": [[0.000, 0.500, 0.645], [0.500, 0.000, 0.355], [0.500, 0.000, 0.908], [0.000, 0.500, 0.092], [0.000, 0.500, 0.438], [0.500, 0.000, 0.562], [0.000, 0.000, 0.500], [0.500, 0.500, 0.500], [0.000, 0.500, 0.845], [0.500, 0.000, 0.155]],
  "spacegroup": "P4/nmm, No. 129",
  "magmom_total_mub_per_fu": 2.1,
  "formation_energy_uncorrected_mev_per_atom": -1156
}